(1)
This record from Alexandria describes a geometry-optimized Be2Ir2Pb structure. The functional is PBE-GGA.

E_tot   -0.4226 Ry per atom
D(E_F)   2.65 states/eV/f.u.
Total magnetic moment   0.00 μB per formula unit
Formation energy   0.027 eV per atom
ΔE to the lowest computed polymorph   0.000 eV/atom

a b c (Å): 6.9279 6.9279 2.9065
angles (deg): 90.00 90.00 90.00
Space group P4/mbm (No. 127)
Unique sites:
Be: 0.1201 0.3799 0.0000 (multiplicity 4)
Ir: 0.1580 0.6580 0.5000 (multiplicity 4)
Pb: 0.0000 0.0000 0.0000 (multiplicity 2)

=====

(2)
This record from Alexandria describes a geometry-optimized Ba4I6Cl structure. The functional is PBE-GGA.

E_tot   -0.2544 Ry per atom
D(E_F)   7.67 states/eV/f.u.
E_form (uncorrected)   -1749 meV/atom
Total magnetic moment   0.00 μB per formula unit

a b c (Å): 11.5010 11.5010 8.6894
angles (deg): 90.00 90.00 120.00
Space group P6_3mc (No. 186)
Unique sites:
Ba: 0.1853 0.3707 0.0000 (multiplicity 6)
Ba: 0.3333 0.6667 0.5331 (multiplicity 2)
I: 0.0664 0.5332 0.2663 (multiplicity 6)
I: 0.1474 0.2948 0.6000 (multiplicity 6)
Cl: 0.3333 0.6667 0.8882 (multiplicity 2)

=====

(3)
This record from Alexandria describes a geometry-optimized TcCF2 structure. The functional is PBE-GGA.

E_tot   -0.4139 Ry per atom
D(E_F)   3.11 states/eV/f.u.
E_form (uncorrected)   201 meV/atom
Total magnetic moment   0.78 μB per formula unit
ΔE to the lowest computed polymorph   0.000 eV/atom

a b c (Å): 3.1538 3.1538 15.4774
angles (deg): 90.00 90.00 90.00
Space group I-42d (No. 122)
Unique sites:
Tc: 0.0000 0.0000 0.0000 (multiplicity 4)
C: 0.0000 0.0000 0.5000 (multiplicity 4)
F: 0.2351 0.2500 0.1250 (multiplicity 8)

=====

(4)
This record from Alexandria describes a geometry-optimized Mg14FeSi structure. The functional is PBE-GGA.

E_tot   -0.1600 Ry per atom
D(E_F)   9.65 states/eV/f.u.
E_form (uncorrected)   86 meV/atom
Total magnetic moment   2.19 μB per formula unit
ΔE to the lowest computed polymorph   0.003 eV/atom

a b c (Å): 9.9917 6.2490 10.7526
angles (deg): 90.00 90.00 90.00
Space group Amm2 (No. 38)
Unique sites:
Mg: 0.0000 0.0000 0.9996 (multiplicity 2)
Mg: 0.0000 0.0000 0.5000 (multiplicity 2)
Mg: 0.0000 0.2488 0.2533 (multiplicity 4)
Mg: 0.2513 0.0000 0.6691 (multiplicity 4)
Mg: 0.2550 0.0000 0.1655 (multiplicity 4)
Mg: 0.2745 0.2473 0.9235 (multiplicity 8)
Mg: 0.5000 0.2497 0.2381 (multiplicity 4)
Fe: 0.5000 0.0000 0.0016 (multiplicity 2)
Si: 0.5000 0.0000 0.5080 (multiplicity 2)

=====

Q: Number 3 is which compound?
A: TcCF2